P | # ErIrRh2, relaxed, DFT PBE
# SG: No. 51
data_ErIrRh2
_chemical_formula_sum 'Er4 Ir4 Rh8'
_symmetry_space_group_name_H-M 'P 1'
_symmetry_Int_Tables_number 1
_cell_length_a 8.4188
_cell_length_b 5.4125
_cell_length_c 7.7670
_cell_angle_alpha 90.00
_cell_angle_beta 90.00
_cell_angle_gamma 90.00
loop_
_symmetry_equiv_pos_as_xyz
'x,y,z'
loop_
_atom_site_label
_atom_site_fract_x
_atom_site_fract_y
_atom_site_fract_z
Rh1 0.2555 0.2500 0.0686
Rh2 0.7445 0.2500 0.0686
Rh3 0.0000 0.5000 0.0000
Rh4 0.0000 0.0000 0.0000
Rh5 0.5000 0.5000 0.5000
Rh6 0.2555 0.7500 0.9314
Rh7 0.5000 0.0000 0.5000
Rh8 0.7445 0.7500 0.9314
Er1 0.0000 0.7500 0.3391
Er2 0.5000 0.2500 0.8221
Er3 0.5000 0.7500 0.1779
Er4 0.0000 0.2500 0.6609
Ir1 0.5000 0.2500 0.2268
Ir2 0.0000 0.2500 0.2960
Ir3 0.0000 0.7500 0.7040
Ir4 0.5000 0.7500 0.7732


Q | # ErIrRh2, relaxed, DFT PBE
# SG: No. 123
data_ErIrRh2
_chemical_formula_sum 'Er1 Ir1 Rh2'
_symmetry_space_group_name_H-M 'P 1'
_symmetry_Int_Tables_number 1
_cell_length_a 3.9720
_cell_length_b 4.0596
_cell_length_c 4.0596
_cell_angle_alpha 90.00
_cell_angle_beta 90.00
_cell_angle_gamma 90.00
loop_
_symmetry_equiv_pos_as_xyz
'x,y,z'
loop_
_atom_site_label
_atom_site_fract_x
_atom_site_fract_y
_atom_site_fract_z
Rh1 0.0000 0.5000 0.0000
Rh2 0.0000 0.0000 0.5000
Er1 0.5000 0.0000 0.0000
Ir1 0.5000 0.5000 0.5000


Which is the most stable structure? Q is the most stable.


P | # Er2IrRh3, relaxed, DFT PBE
# SG: No. 194
data_Er2IrRh3
_chemical_formula_sum 'Er4 Ir2 Rh6'
_symmetry_space_group_name_H-M 'P 1'
_symmetry_Int_Tables_number 1
_cell_length_a 5.3135
_cell_length_b 5.3135
_cell_length_c 8.6915
_cell_angle_alpha 90.00
_cell_angle_beta 90.00
_cell_angle_gamma 120.00
loop_
_symmetry_equiv_pos_as_xyz
'x,y,z'
loop_
_atom_site_label
_atom_site_fract_x
_atom_site_fract_y
_atom_site_fract_z
Ir1 0.0000 0.0000 0.5000
Ir2 0.0000 0.0000 0.0000
Er1 0.6667 0.3333 0.4344
Er2 0.3333 0.6667 0.5656
Er3 0.3333 0.6667 0.9344
Er4 0.6667 0.3333 0.0656
Rh1 0.1692 0.3384 0.2500
Rh2 0.8308 0.1692 0.7500
Rh3 0.3384 0.1692 0.7500
Rh4 0.6616 0.8308 0.2500
Rh5 0.8308 0.6616 0.7500
Rh6 0.1692 0.8308 0.2500


Q | # Er2IrRh3, relaxed, DFT PBE
# SG: No. 166
data_Er2IrRh3
_chemical_formula_sum 'Er2 Ir1 Rh3'
_symmetry_space_group_name_H-M 'P 1'
_symmetry_Int_Tables_number 1
_cell_length_a 5.3124
_cell_length_b 5.3124
_cell_length_c 5.3272
_cell_angle_alpha 90.02
_cell_angle_beta 119.94
_cell_angle_gamma 119.95
loop_
_symmetry_equiv_pos_as_xyz
'x,y,z'
loop_
_atom_site_label
_atom_site_fract_x
_atom_site_fract_y
_atom_site_fract_z
Er1 0.2510 0.6255 0.8765
Er2 0.7490 0.3745 0.1235
Ir1 0.0000 0.0000 0.0000
Rh1 0.5000 0.0000 0.5000
Rh2 0.0000 0.0000 0.5000
Rh3 0.5000 0.5000 0.5000


Which is the most stable structure? Q is the most stable.


P | # Er8IrRh2, relaxed, DFT PBE
# SG: No. 8
data_Er8IrRh2
_chemical_formula_sum 'Er8 Ir1 Rh2'
_symmetry_space_group_name_H-M 'P 1'
_symmetry_Int_Tables_number 1
_cell_length_a 5.9148
_cell_length_b 7.4883
_cell_length_c 7.4883
_cell_angle_alpha 113.59
_cell_angle_beta 100.63
_cell_angle_gamma 100.63
loop_
_symmetry_equiv_pos_as_xyz
'x,y,z'
loop_
_atom_site_label
_atom_site_fract_x
_atom_site_fract_y
_atom_site_fract_z
Ir1 0.1540 0.9994 0.9994
Rh1 0.4879 0.6960 0.3176
Rh2 0.4879 0.3176 0.6960
Er1 0.9873 0.2113 0.7889
Er2 0.5778 0.3421 0.0846
Er3 0.9873 0.7889 0.2113
Er4 0.3829 0.9245 0.6673
Er5 0.3829 0.6673 0.9245
Er6 0.5778 0.0846 0.3421
Er7 0.1661 0.3582 0.3582
Er8 0.8077 0.6441 0.6441


Q | # Er8IrRh2, relaxed, DFT PBE
# SG: No. 12
data_Er8IrRh2
_chemical_formula_sum 'Er8 Ir1 Rh2'
_symmetry_space_group_name_H-M 'P 1'
_symmetry_Int_Tables_number 1
_cell_length_a 4.9332
_cell_length_b 6.7142
_cell_length_c 8.8785
_cell_angle_alpha 106.42
_cell_angle_beta 106.13
_cell_angle_gamma 90.00
loop_
_symmetry_equiv_pos_as_xyz
'x,y,z'
loop_
_atom_site_label
_atom_site_fract_x
_atom_site_fract_y
_atom_site_fract_z
Er1 0.7973 0.6864 0.5946
Er2 0.4065 0.5551 0.8130
Er3 0.2027 0.3136 0.4054
Er4 0.5935 0.4449 0.1870
Er5 0.0325 0.7916 0.0650
Er6 0.9675 0.2084 0.9350
Er7 0.3326 0.0322 0.6652
Er8 0.6674 0.9678 0.3348
Rh1 0.1874 0.7052 0.3748
Rh2 0.8126 0.2948 0.6252
Ir1 0.5000 0.0000 0.0000


Which is the most stable structure? Q is the most stable.